# 1
A relaxed structure of TbNd2In3Te6. Source: the Alexandria database, functional PBE.

The structure belongs to space group C2/m (No. 12); the cell edges are 7.781, 13.478 and 8.516 Å and the angles 90.00°, 107.75° and 90.00°. The distinct sites, in fractional coordinates, are Tb at (0.000, 0.000, 0.000), Nd at (0.000, 0.334, 0.000), In at (0.000, 0.168, 0.500), In at (0.000, 0.500, 0.500), Te at (0.238, 0.163, 0.224) and Te at (0.249, 0.500, 0.226).

For the density of states at the Fermi level, the calculation gives 1.30 states/eV/f.u. The electronic total energy comes out at -106.13 eV for the cell shown. Its energy relative to the elements, uncorrected is -0.9862 eV per atom.



# 2
A relaxed structure of TbNdThIn. Source: the Alexandria database, functional PBE.

The structure belongs to space group F-43m (No. 216); the cell edges are 7.813, 7.813 and 7.813 Å and the angles 90.00°, 90.00° and 90.00°. The distinct sites, in fractional coordinates, are Tb at (0.000, 0.000, 0.000), Nd at (0.000, 0.000, 0.500), Th at (0.250, 0.250, 0.750) and In at (0.250, 0.250, 0.250).

For the density of states at the Fermi level, the calculation gives 6.60 states/eV/f.u. Its formation enthalpy at 0 K is -0.04 eV/atom. The electronic total energy comes out at -78.87 eV for the cell shown.



# 3
A relaxed structure of TbNdTiIn. Source: the Alexandria database, functional PBE.

The structure belongs to space group F-43m (No. 216); the cell edges are 7.548, 7.548 and 7.548 Å and the angles 90.00°, 90.00° and 90.00°. The distinct sites, in fractional coordinates, are Tb at (0.000, 0.000, 0.000), Nd at (0.000, 0.000, 0.500), Ti at (0.250, 0.250, 0.250) and In at (0.250, 0.250, 0.750).

For the density of states at the Fermi level, the calculation gives 5.23 states/eV/f.u. Its formation enthalpy at 0 K is -0.07 eV/atom. The electronic total energy comes out at -81.20 eV for the cell shown.



# 4
A relaxed structure of Tb5NdTlIn2. Source: the Alexandria database, functional PBE.

The structure belongs to space group I4/mcm (No. 140); the cell edges are 8.632, 8.632 and 14.188 Å and the angles 90.00°, 90.00° and 90.00°. The distinct sites, in fractional coordinates, are Tb at (0.000, 0.000, 0.000), Tb at (0.206, 0.294, 0.133), Nd at (0.000, 0.500, 0.250), Tl at (0.000, 0.000, 0.250) and In at (0.110, 0.390, 0.500).

For the density of states at the Fermi level, the calculation gives 8.35 states/eV/f.u. Its formation enthalpy at 0 K is -0.08 eV/atom. The electronic total energy comes out at -145.78 eV for the cell shown.



# 5
A relaxed structure of Tb3Nd3TlIn2. Source: the Alexandria database, functional PBE.

The structure belongs to space group P-62m (No. 189); the cell edges are 9.1354, 9.1354 and 3.7823 Å and the angles 90.00°, 90.00° and 120.00°. The distinct sites, in fractional coordinates, are Tb at (0.0000, 0.6153, 0.0000), Nd at (0.0000, 0.2883, 0.5000), Tl at (0.0000, 0.0000, 0.0000) and In at (0.3333, 0.6667, 0.5000).

For the density of states at the Fermi level, the calculation gives 8.90 states/eV/f.u. Its formation enthalpy at 0 K is -0.29 eV/atom. The electronic total energy comes out at -38.60 eV for the cell shown.



# 6
A relaxed structure of TbNdTlIn. Source: the Alexandria database, functional PBE.

The structure belongs to space group F-43m (No. 216); the cell edges are 7.686, 7.686 and 7.686 Å and the angles 90.00°, 90.00° and 90.00°. The distinct sites, in fractional coordinates, are Tb at (0.000, 0.000, 0.000), Nd at (0.000, 0.000, 0.500), Tl at (0.250, 0.250, 0.750) and In at (0.250, 0.250, 0.250).

For the density of states at the Fermi level, the calculation gives 2.05 states/eV/f.u. Its formation enthalpy at 0 K is -0.43 eV/atom. The electronic total energy comes out at -64.83 eV for the cell shown.



# 7
A relaxed structure of Tb2NdTm5In. Source: the Alexandria database, functional PBE.

The structure belongs to space group Cmcm (No. 63); the cell edges are 5.335, 19.981 and 10.448 Å and the angles 90.00°, 90.00° and 90.00°. The distinct sites, in fractional coordinates, are Tb at (0.000, 0.116, 0.041), Nd at (0.000, 0.210, 0.750), Tm at (0.000, 0.011, 0.750), Tm at (0.000, 0.290, 0.048), Tm at (0.000, 0.387, 0.750), Tm at (0.000, 0.500, 0.000) and In at (0.000, 0.405, 0.250).

For the density of states at the Fermi level, the calculation gives 12.45 states/eV/f.u. Its formation enthalpy at 0 K is 0.00 eV/atom. The electronic total energy comes out at -156.59 eV for the cell shown.



# 8
A relaxed structure of Tb2NdTmIn4. Source: the Alexandria database, functional PBE.

The structure belongs to space group R-3m (No. 166, hexagonal axes); the cell edges are 5.3463, 5.3463 and 26.3070 Å and the angles 90.00°, 90.00° and 120.00°. The distinct sites, in fractional coordinates, are Tb at (0.0000, 0.0000, 0.2492), Nd at (0.0000, 0.0000, 0.0000), Tm at (0.0000, 0.0000, 0.5000), In at (0.0000, 0.0000, 0.1267) and In at (0.0000, 0.0000, 0.3768).

For the density of states at the Fermi level, the calculation gives 3.51 states/eV/f.u. Its formation enthalpy at 0 K is -0.46 eV/atom. The electronic total energy comes out at -99.49 eV for the cell shown.



# 9
A relaxed structure of TbNdTm2In4. Source: the Alexandria database, functional PBE.

The structure belongs to space group R-3m (No. 166, hexagonal axes); the cell edges are 5.3319, 5.3319 and 26.1980 Å and the angles 90.00°, 90.00° and 120.00°. The distinct sites, in fractional coordinates, are Tb at (0.0000, 0.0000, 0.0000), Nd at (0.0000, 0.0000, 0.5000), Tm at (0.0000, 0.0000, 0.2503), In at (0.0000, 0.0000, 0.1237) and In at (0.0000, 0.0000, 0.3739).

For the density of states at the Fermi level, the calculation gives 3.78 states/eV/f.u. Its formation enthalpy at 0 K is -0.45 eV/atom. The electronic total energy comes out at -98.73 eV for the cell shown.



# 10
A relaxed structure of TbNdTmIn. Source: the Alexandria database, functional PBE.

The structure belongs to space group F-43m (No. 216); the cell edges are 7.768, 7.768 and 7.768 Å and the angles 90.00°, 90.00° and 90.00°. The distinct sites, in fractional coordinates, are Tb at (0.000, 0.000, 0.000), Nd at (0.000, 0.000, 0.500), Tm at (0.250, 0.250, 0.750) and In at (0.250, 0.250, 0.250).

For the density of states at the Fermi level, the calculation gives 6.73 states/eV/f.u. Its formation enthalpy at 0 K is -0.15 eV/atom. As for the energy above the most stable polymorph in this dataset: 0 meV per atom. The electronic total energy comes out at -68.84 eV for the cell shown.



# 11
A relaxed structure of Tb2Nd2Tm2In. Source: the Alexandria database, functional PBE.

The structure belongs to space group C2/m (No. 12); the cell edges are 13.792, 3.565 and 10.553 Å and the angles 90.00°, 118.93° and 90.00°. The distinct sites, in fractional coordinates, are Tb at (0.132, 0.000, 0.368), Nd at (0.118, 0.000, 0.973), Tm at (0.197, 0.000, 0.721) and In at (0.000, 0.500, 0.500).

For the density of states at the Fermi level, the calculation gives 9.84 states/eV/f.u. Its formation enthalpy at 0 K is 0.03 eV/atom. The electronic total energy comes out at -60.48 eV for the cell shown.



# 12
A relaxed structure of Tb3Nd6Tm2In. Source: the Alexandria database, functional PBE.

The structure belongs to space group C2/m (No. 12); the cell edges are 6.208, 10.785 and 11.782 Å and the angles 90.00°, 100.30° and 90.00°. The distinct sites, in fractional coordinates, are Tb at (0.000, 0.000, 0.000), Tb at (0.000, 0.332, 0.000), Nd at (0.245, 0.336, 0.746), Nd at (0.246, 0.500, 0.253), Tm at (0.000, 0.166, 0.500) and In at (0.000, 0.500, 0.500).

For the density of states at the Fermi level, the calculation gives 14.39 states/eV/f.u. Its formation enthalpy at 0 K is -0.03 eV/atom. The electronic total energy comes out at -109.04 eV for the cell shown.



# 13
A relaxed structure of TbNdTmIn. Source: the Alexandria database, functional PBE.

The structure belongs to space group F-43m (No. 216); the cell edges are 7.749, 7.749 and 7.749 Å and the angles 90.00°, 90.00° and 90.00°. The distinct sites, in fractional coordinates, are Tb at (0.000, 0.000, 0.000), Nd at (0.250, 0.250, 0.250), Tm at (0.000, 0.000, 0.500) and In at (0.250, 0.250, 0.750).

For the density of states at the Fermi level, the calculation gives 5.63 states/eV/f.u. Its formation enthalpy at 0 K is -0.09 eV/atom. As for the energy above the most stable polymorph in this dataset: 63 meV per atom. The electronic total energy comes out at -67.83 eV for the cell shown.



# 14
A relaxed structure of Tb6Nd2Tm3In. Source: the Alexandria database, functional PBE.

The structure belongs to space group C2/m (No. 12); the cell edges are 6.094, 10.560 and 11.710 Å and the angles 90.00°, 99.99° and 90.00°. The distinct sites, in fractional coordinates, are Tb at (0.243, 0.000, 0.247), Tb at (0.248, 0.164, 0.752), Nd at (0.000, 0.334, 0.500), Tm at (0.000, 0.167, 0.000), Tm at (0.000, 0.500, 0.000) and In at (0.000, 0.000, 0.500).

For the density of states at the Fermi level, the calculation gives 14.80 states/eV/f.u. Its formation enthalpy at 0 K is -0.05 eV/atom. The electronic total energy comes out at -108.23 eV for the cell shown.



# 15
A relaxed structure of Tb6Nd3Tm2In. Source: the Alexandria database, functional PBE.

The structure belongs to space group C2/m (No. 12); the cell edges are 6.166, 10.690 and 11.652 Å and the angles 90.00°, 100.22° and 90.00°. The distinct sites, in fractional coordinates, are Tb at (0.244, 0.164, 0.242), Tb at (0.247, 0.000, 0.757), Nd at (0.000, 0.167, 0.500), Nd at (0.000, 0.500, 0.500), Tm at (0.000, 0.334, 0.000) and In at (0.000, 0.000, 0.000).

For the density of states at the Fermi level, the calculation gives 16.27 states/eV/f.u. Its formation enthalpy at 0 K is -0.03 eV/atom. The electronic total energy comes out at -108.32 eV for the cell shown.



# 16
A relaxed structure of Tb2Nd6Y3In. Source: the Alexandria database, functional PBE.

The structure belongs to space group C2/m (No. 12); the cell edges are 6.220, 10.806 and 11.855 Å and the angles 90.00°, 100.22° and 90.00°. The distinct sites, in fractional coordinates, are Tb at (0.000, 0.166, 0.000), Nd at (0.244, 0.500, 0.752), Nd at (0.246, 0.336, 0.247), Y at (0.000, 0.000, 0.500), Y at (0.000, 0.333, 0.500) and In at (0.000, 0.500, 0.000).

For the density of states at the Fermi level, the calculation gives 13.91 states/eV/f.u. Its formation enthalpy at 0 K is -0.04 eV/atom. The electronic total energy comes out at -120.92 eV for the cell shown.



# 17
A relaxed structure of Tb6Nd3Y2In. Source: the Alexandria database, functional PBE.

The structure belongs to space group C2/m (No. 12); the cell edges are 6.170, 10.692 and 11.748 Å and the angles 90.00°, 100.12° and 90.00°. The distinct sites, in fractional coordinates, are Tb at (0.244, 0.164, 0.244), Tb at (0.246, 0.000, 0.755), Nd at (0.000, 0.168, 0.500), Nd at (0.000, 0.500, 0.500), Y at (0.000, 0.334, 0.000) and In at (0.000, 0.000, 0.000).

For the density of states at the Fermi level, the calculation gives 17.09 states/eV/f.u. Its formation enthalpy at 0 K is -0.04 eV/atom. The electronic total energy comes out at -116.45 eV for the cell shown.



# 18
A relaxed structure of Tb2Nd2Y2In. Source: the Alexandria database, functional PBE.

The structure belongs to space group C2/m (No. 12); the cell edges are 5.871, 5.865 and 13.213 Å and the angles 90.00°, 102.79° and 90.00°. The distinct sites, in fractional coordinates, are Tb at (0.064, 0.000, 0.127), Nd at (0.209, 0.000, 0.418), Y at (0.136, 0.500, 0.272) and In at (0.000, 0.500, 0.000).

For the density of states at the Fermi level, the calculation gives 13.55 states/eV/f.u. Its formation enthalpy at 0 K is -0.04 eV/atom. The electronic total energy comes out at -69.44 eV for the cell shown.



# 19
A relaxed structure of Tb2Nd3Y6In. Source: the Alexandria database, functional PBE.

The structure belongs to space group C2/m (No. 12); the cell edges are 6.176, 10.701 and 11.743 Å and the angles 90.00°, 100.12° and 90.00°. The distinct sites, in fractional coordinates, are Tb at (0.000, 0.166, 0.000), Nd at (0.000, 0.000, 0.500), Nd at (0.000, 0.333, 0.500), Y at (0.244, 0.337, 0.243), Y at (0.246, 0.500, 0.756) and In at (0.000, 0.500, 0.000).

For the density of states at the Fermi level, the calculation gives 17.64 states/eV/f.u. Its formation enthalpy at 0 K is -0.04 eV/atom. The electronic total energy comes out at -131.25 eV for the cell shown.



# 20
A relaxed structure of TbNd2Zn2In2. Source: the Alexandria database, functional PBE.

The structure belongs to space group R-3m (No. 166, hexagonal axes); the cell edges are 4.7344, 4.7344 and 28.1709 Å and the angles 90.00°, 90.00° and 120.00°. The distinct sites, in fractional coordinates, are Tb at (0.0000, 0.0000, 0.0000), Nd at (0.0000, 0.0000, 0.1267), Zn at (0.0000, 0.0000, 0.3924) and In at (0.0000, 0.0000, 0.2674).

For the density of states at the Fermi level, the calculation gives 3.87 states/eV/f.u. Its formation enthalpy at 0 K is -0.30 eV/atom. The electronic total energy comes out at -72.86 eV for the cell shown.